Record 1
DFT (PBE-GGA) results for crystalline LaCr2BiOs at its relaxed geometry.

a b c (Å): 4.810 4.810 5.970
angles (deg): 90.00 90.00 90.00
Space group P4/mmm (No. 123)
One atom of each set of equivalent atoms:
La 0.000 0.000 0.000 x1
Cr 0.000 0.500 0.500 x2
Bi 0.000 0.000 0.500 x1
Os 0.500 0.500 0.000 x1

Results
- energy (eV/atom) = -5.59

---

Record 2
DFT (PBE-GGA) results for crystalline LaCrBiOs2 at its relaxed geometry.

a b c (Å): 4.623 4.623 5.101
angles (deg): 90.00 90.00 90.00
Space group P4/mmm (No. 123)
One atom of each set of equivalent atoms:
La 0.000 0.000 0.000 x1
Cr 0.000 0.000 0.500 x1
Bi 0.500 0.500 0.000 x1
Os 0.000 0.500 0.500 x2

Results
- energy (eV/atom) = -7.29

---

Record 3
DFT (PBE-GGA) results for crystalline LaCr2BiP at its relaxed geometry.

a b c (Å): 5.104 5.104 6.309
angles (deg): 90.00 90.00 90.00
Space group P4/mmm (No. 123)
One atom of each set of equivalent atoms:
La 0.000 0.000 0.000 x1
Cr 0.000 0.500 0.500 x2
Bi 0.000 0.000 0.500 x1
P 0.500 0.500 0.000 x1

Results
- energy (eV/atom) = -5.85

---

Record 4
DFT (PBE-GGA) results for crystalline LaTiCr2Bi at its relaxed geometry.

a b c (Å): 4.593 4.593 4.999
angles (deg): 90.00 90.00 90.00
Space group P4/mmm (No. 123)
One atom of each set of equivalent atoms:
La 0.000 0.000 0.000 x1
Ti 0.000 0.000 0.500 x1
Cr 0.000 0.500 0.000 x2
Bi 0.500 0.500 0.500 x1

Results
- energy (eV/atom) = -5.58

---

Record 5
DFT (PBE-GGA) results for crystalline LaTi2CrBi at its relaxed geometry.

a b c (Å): 5.134 5.134 6.032
angles (deg): 90.00 90.00 90.00
Space group P4/mmm (No. 123)
One atom of each set of equivalent atoms:
La 0.000 0.000 0.000 x1
Ti 0.000 0.500 0.500 x2
Cr 0.500 0.500 0.000 x1
Bi 0.000 0.000 0.500 x1

Results
- energy (eV/atom) = -5.28

---

Record 6
DFT (PBE-GGA) results for crystalline LaCrBiW2 at its relaxed geometry.

a b c (Å): 4.631 4.631 5.382
angles (deg): 90.00 90.00 90.00
Space group P4/mmm (No. 123)
One atom of each set of equivalent atoms:
La 0.000 0.000 0.000 x1
Cr 0.000 0.000 0.500 x1
Bi 0.500 0.500 0.000 x1
W 0.000 0.500 0.500 x2

Results
- energy (eV/atom) = -7.87

---

In the order shown, the computed ρ values come out to 7.72; 11.88; 4.88; 7.87; 5.18; 11.05 Mg/m³.
In the order shown, the computed ΔH_f (0 K) values come out to 2.268; 0.888; 0.840; 1.608; 1.565; 0.996 eV/atom.